A plane-wave DFT calculation with GGA-PBE was carried out for Mg2PdPb2 after structural relaxation.

Structure (extended XYZ):
```
10
Lattice="-6.639 2.915 -1.143 -2.398 -6.457 -2.537 -1.240 -1.184 4.185" Properties=species:S:1:pos:R:3 pbc="T T T"
Mg -3.254 -4.383 0.240
Mg -7.023 -0.343 0.266
Pb -4.342 -4.460 -2.548
Mg -3.266 -0.623 1.300
Pd 0.000 0.000 0.000
Pb -7.192 -1.740 -2.624
Pb -4.695 0.918 -1.132
Pb -1.844 -1.802 -1.056
Mg -7.011 -4.104 -0.794
Pd -4.518 -1.771 -1.840
```

- Energy of formation from the pure elements: -0.045 eV/atom
- E_tot: -32.05 eV for the cell shown
- Symmetry: P4/mbm (127)
- Volume: 243.68 Å³/cell
- DOS at the Fermi energy: 0.441 states/eV per atom
- Energy above the lowest structure with this stoichiometry: 0.045 eV/atom